[1]
## Y2BiRh2 (meta-GGA SCAN)

Data for a crystal of Y2BiRh2 relaxed with PBEsol.

## Properties
Symmetry: No. 127
Energy of formation: -408.6 kJ/mol of formula units
Size of the total moment: 0.0 μB per formula unit

Structure (POSCAR):
```
Y2BiRh2
1.0
3.635 0.000 0.000
0.000 7.586 0.000
0.000 0.000 7.586
Rh Y Bi
4 4 2
direct
0.000 0.869 0.631
0.000 0.631 0.131
0.000 0.131 0.369
0.000 0.369 0.869
0.500 0.668 0.832
0.500 0.832 0.332
0.500 0.332 0.168
0.500 0.168 0.668
0.000 0.000 0.000
0.000 0.500 0.500
```

[2]
## Zr3BiRh (meta-GGA SCAN)

Data for a crystal of Zr3BiRh relaxed with PBEsol.

## Properties
Symmetry: No. 221
Energy of formation: 660.5 kJ/mol of formula units
Size of the total moment: 0.0 μB per formula unit

Structure (POSCAR):
```
Zr3BiRh
1.0
-3.921 2.521 2.395
1.568 -1.940 4.609
3.104 4.164 0.697
Zr Rh Bi
3 1 1
direct
0.000 0.000 0.500
0.500 0.000 0.000
0.000 0.500 0.000
0.500 0.500 0.500
0.000 0.000 0.000
```

[3]
## BiSbTe2Ru (meta-GGA SCAN)

Data for a crystal of BiSbTe2Ru relaxed with PBEsol.

## Properties
Symmetry: No. 123
Size of the total moment: 0.9 μB per formula unit
Energy relative to the elements, uncorrected: 400 meV/atom

Structure (POSCAR):
```
BiSbTe2Ru
1.0
-2.016 -3.531 -2.932
3.304 1.278 -3.811
3.431 -3.465 1.813
Te Sb Ru Bi
2 1 1 1
direct
0.000 0.500 0.000
0.000 0.000 0.500
0.500 0.000 0.000
0.000 0.000 0.000
0.500 0.500 0.500
```

[4]
## TlSnBiRu2 (meta-GGA SCAN)

Data for a crystal of TlSnBiRu2 relaxed with PBEsol.

## Properties
Symmetry: No. 123
Energy of formation: 670.4 kJ/mol of formula units
Size of the total moment: 2.4 μB per formula unit

Structure (POSCAR):
```
TlSnBiRu2
1.0
4.898 0.000 0.000
0.000 4.898 0.000
0.000 0.000 5.293
Tl Ru Sn Bi
1 2 1 1
direct
0.000 0.000 0.500
0.000 0.500 0.000
0.500 0.000 0.000
0.000 0.000 0.000
0.500 0.500 0.500
```

[5]
## SrBiRu3 (meta-GGA SCAN)

Data for a crystal of SrBiRu3 relaxed with PBEsol.

## Properties
Symmetry: No. 221
Energy of formation: 1230.9 kJ/mol of formula units
Size of the total moment: 0.0 μB per formula unit

Structure (POSCAR):
```
SrBiRu3
1.0
-1.313 -2.849 -3.613
-2.134 -2.952 3.103
-4.076 2.463 -0.460
Ru Sr Bi
3 1 1
direct
0.000 0.000 0.500
0.500 0.000 0.000
0.000 0.500 0.000
0.000 0.000 0.000
0.500 0.500 0.500
```

[6]
## SrBi2Ru (meta-GGA SCAN)

Data for a crystal of SrBi2Ru relaxed with PBEsol.

## Properties
Symmetry: No. 225
Energy of formation: 12.6 kJ/mol of formula units
Size of the total moment: 0.0 μB per formula unit

Structure (POSCAR):
```
SrBi2Ru
1.0
5.120 0.000 0.000
2.560 4.434 0.000
2.560 1.478 4.181
Ru Bi Sr
1 2 1
direct
0.500 0.500 0.500
0.750 0.750 0.750
0.250 0.250 0.250
0.000 0.000 0.000
```

Which value of size of the total moment does entry 5 give? 0.0 μB per formula unit

What did the third record say?
## BiSbTe2Ru (meta-GGA SCAN)

Data for a crystal of BiSbTe2Ru relaxed with PBEsol.

## Properties
Symmetry: No. 123
Size of the total moment: 0.9 μB per formula unit
Energy relative to the elements, uncorrected: 400 meV/atom

Structure (POSCAR):
```
BiSbTe2Ru
1.0
-2.016 -3.531 -2.932
3.304 1.278 -3.811
3.431 -3.465 1.813
Te Sb Ru Bi
2 1 1 1
direct
0.000 0.500 0.000
0.000 0.000 0.500
0.500 0.000 0.000
0.000 0.000 0.000
0.500 0.500 0.500
```